# 1
A relaxed CePm10Y4 crystal. Source: Alexandria, functional PBE.

electronic total energy = -4.9632 eV per atom
calculated formation energy = 323 meV per atom

Lattice parameters (Å, degrees): 8.7698 8.7698 8.7698 111.86 111.86 104.79
Last column: nearest neighbours and their distance in Å.
Fractional positions:
Ce: 0.0000 0.0000 0.0000  4 Y 3.30
Pm: 0.1306 0.4586 0.9027  5 Pm 3.20-3.40
Pm: 0.2279 0.1306 0.6721  5 Pm 3.20-3.40
Pm: 0.2500 0.7500 0.5000  4 Pm 3.20, 4 Y 3.21
Pm: 0.4441 0.7721 0.9027  5 Pm 3.20-3.40
Pm: 0.4586 0.5559 0.3279  5 Pm 3.20-3.40
Pm: 0.5414 0.4441 0.6721  5 Pm 3.20-3.40
Pm: 0.5559 0.2279 0.0973  5 Pm 3.20-3.40
Pm: 0.7500 0.2500 0.5000  4 Pm 3.20, 4 Y 3.21
Pm: 0.7721 0.8694 0.3279  5 Pm 3.20-3.40
Pm: 0.8694 0.5414 0.0973  5 Pm 3.20-3.40
Y: 0.0603 0.3306 0.3908  2 Pm 3.21, 1 Ce 3.30, 1 Y 3.53
Y: 0.3306 0.9397 0.2703  2 Pm 3.21, 1 Ce 3.30, 1 Y 3.53
Y: 0.6694 0.0603 0.7297  2 Pm 3.21, 1 Ce 3.30, 1 Y 3.53
Y: 0.9397 0.6694 0.6092  2 Pm 3.21, 1 Ce 3.30, 1 Y 3.53

=====

# 2
A relaxed RbNaPa2Se5 crystal. Source: Alexandria, functional PBE.

electronic total energy = -5.6464 eV per atom
raw formation energy = -1.346 eV per atom

Lattice parameters (Å, degrees): 9.8313 9.8313 9.8313 132.16 132.16 69.97
Last column: nearest neighbours and their distance in Å.
Fractional positions:
Rb: 0.2500 0.2500 0.0000  10 Se 3.76-4.03, 4 Na 3.99
Rb: 0.7500 0.7500 0.0000  10 Se 3.76-4.03, 4 Na 3.99
Na: 0.2500 0.7500 0.5000  4 Se 2.76
Na: 0.7500 0.2500 0.5000  4 Se 2.76
Pa: 0.1576 0.6576 0.8152  8 Se 2.85-3.05
Pa: 0.3424 0.1576 0.5000  8 Se 2.85-3.05
Pa: 0.6576 0.8424 0.5000  8 Se 2.85-3.05
Pa: 0.8424 0.3424 0.1848  8 Se 2.85-3.05
Se: 0.0000 0.0000 0.0000  4 Pa 3.00
Se: 0.0349 0.2383 0.5000  1 Na 2.76, 3 Pa 2.85-3.05
Se: 0.2383 0.7383 0.2034  1 Na 2.76, 3 Pa 2.85-3.05
Se: 0.2617 0.4651 0.5000  1 Na 2.76, 3 Pa 2.85-3.05
Se: 0.4651 0.9651 0.2034  1 Na 2.76, 3 Pa 2.85-3.05
Se: 0.5000 0.5000 0.0000  4 Pa 3.00
Se: 0.5349 0.0349 0.7966  1 Na 2.76, 3 Pa 2.85-3.05
Se: 0.7383 0.5349 0.5000  1 Na 2.76, 3 Pa 2.85-3.05
Se: 0.7617 0.2617 0.7966  1 Na 2.76, 3 Pa 2.85-3.05
Se: 0.9651 0.7617 0.5000  1 Na 2.76, 3 Pa 2.85-3.05

=====

# 3
A relaxed Re3GePb crystal. Source: Alexandria, functional PBE.

electronic total energy = -5.8632 eV per atom
excess energy over the best structure of this formula in the dataset = 1516 meV/atom
calculated formation energy = 3271 meV per atom

Lattice parameters (Å, degrees): 5.0035 5.0035 5.0035 90.00 90.00 90.00
Last column: nearest neighbours and their distance in Å.
Fractional positions:
Re: 0.0000 0.0000 0.5000  2 Pb 2.50
Re: 0.0000 0.5000 0.0000  2 Pb 2.50
Re: 0.5000 0.0000 0.0000  2 Pb 2.50
Ge: 0.5000 0.5000 0.5000  12 Re 3.54
Pb: 0.0000 0.0000 0.0000  6 Re 2.50